TiCd3Br | PBE-GGA | relaxed

a = 5.409 Å, b = 5.409 Å, c = 5.409 Å
α = 90.00°, β = 90.00°, γ = 90.00°
Element x y z (fractional)
Cd 0.500 0.000 0.000
Ti 0.500 0.500 0.500
Cd 0.000 0.000 0.500
Br 0.000 0.000 0.000
Cd 0.000 0.500 0.000

Results
V: 158.29 Å³ per cell
calculated total energy: -1.398 eV/atom
relative energy among the computed polymorphs: 539 meV/atom